Entry from Alexandria: Np2Be17 after structural relaxation (PBE).

Unit cell a=5.8017 b=5.8017 c=5.8017 alpha=83.32 beta=83.32 gamma=83.32
Closest atoms and distances in Å follow each position.
Positions (direct):
Np  0.3450  0.3450  0.3450  19 Be 2.76-2.99
Np  0.6550  0.6550  0.6550  19 Be 2.76-2.99
Be  0.6621  0.6621  0.1496  9 Be 2.20-2.45
Be  0.1496  0.6621  0.6621  9 Be 2.20-2.45
Be  0.9020  0.9020  0.9020  13 Be 2.19-2.42
Be  0.0980  0.0980  0.0980  13 Be 2.19-2.42
Be  0.0000  0.0000  0.5000  10 Be 2.18-2.35
Be  0.0000  0.5000  0.0000  10 Be 2.18-2.35
Be  0.5000  0.0000  0.0000  10 Be 2.18-2.35
Be  0.2803  0.7197  0.0000  6 Be 2.16-2.26
Be  0.7197  0.0000  0.2803  6 Be 2.16-2.26
Be  0.0000  0.2803  0.7197  6 Be 2.16-2.26
Be  0.7197  0.2803  0.0000  6 Be 2.16-2.26
Be  0.2803  0.0000  0.7197  6 Be 2.16-2.26
Be  0.0000  0.7197  0.2803  6 Be 2.16-2.26
Be  0.8504  0.3379  0.3379  9 Be 2.20-2.45
Be  0.3379  0.3379  0.8504  9 Be 2.20-2.45
Be  0.3379  0.8504  0.3379  9 Be 2.20-2.45
Be  0.6621  0.1496  0.6621  9 Be 2.20-2.45

Formation energy from the elements in eV per formula unit: 0.21



Entry from Alexandria: LaCeHo2As4 after structural relaxation (PBE).

Unit cell a=4.2028 b=7.2589 c=7.2856 alpha=70.52 beta=90.00 gamma=90.00
Closest atoms and distances in Å follow each position.
Positions (direct):
La  0.0000  0.5000  0.5000  6 As 3.03
Ce  0.5000  0.5000  0.0000  6 As 2.98-2.99
Ho  0.0000  0.0000  0.0000  6 As 2.91
Ho  0.5000  0.0000  0.5000  6 As 2.95-2.96
As  0.0000  0.7586  0.7515  3 Ho 2.91-2.95, 2 Ce 2.99, 1 La 3.03
As  0.0000  0.2414  0.2485  3 Ho 2.91-2.95, 2 Ce 2.99, 1 La 3.03
As  0.5000  0.7611  0.2413  3 Ho 2.91-2.96, 1 Ce 2.98, 2 La 3.03
As  0.5000  0.2389  0.7587  3 Ho 2.91-2.96, 1 Ce 2.98, 2 La 3.03

Formation energy from the elements in eV per formula unit: -12.05



Entry from Alexandria: La2Zr2N after structural relaxation (PBE).

Unit cell a=3.8512 b=3.8512 c=8.6706 alpha=77.17 beta=77.17 gamma=90.00
Closest atoms and distances in Å follow each position.
Positions (direct):
N  0.0000  0.0000  0.0000  8 Zr 2.99
Zr  0.4254  0.4254  0.1492  1 Zr 2.46
Zr  0.5746  0.5746  0.8508  1 Zr 2.46
La  0.7500  0.2500  0.5000  4 La 2.72
La  0.2500  0.7500  0.5000  4 La 2.72

Relative energy among the computed polymorphs in meV per atom: 1574
Energy relative to the elements, uncorrected in kJ/mol of atoms: 134.4



Entry from Alexandria: Ac2BiPd3Au12 after structural relaxation (PBE).

Unit cell a=10.5534 b=10.5534 c=10.5534 alpha=39.41 beta=39.41 gamma=39.41
Closest atoms and distances in Å follow each position.
Positions (direct):
Ac  0.6398  0.6398  0.6398  6 Au 3.20-3.22
Ac  0.3602  0.3602  0.3602  6 Au 3.20-3.22
Bi  0.0000  0.0000  0.0000  6 Au 2.94
Pd  0.5000  0.0000  0.0000  4 Au 2.66
Pd  0.0000  0.5000  0.0000  4 Au 2.66
Pd  0.0000  0.0000  0.5000  4 Au 2.66
Au  0.4152  0.4152  0.8041  2 Pd 2.66, 4 Au 2.77-2.82
Au  0.8795  0.8795  0.4325  2 Au 2.82, 1 Bi 2.94, 1 Pd 3.01
Au  0.4325  0.8795  0.8795  2 Au 2.82, 1 Bi 2.94, 1 Pd 3.01
Au  0.8041  0.4152  0.4152  2 Pd 2.66, 4 Au 2.77-2.82
Au  0.8795  0.4325  0.8795  2 Au 2.82, 1 Bi 2.94, 1 Pd 3.01
Au  0.4152  0.8041  0.4152  2 Pd 2.66, 4 Au 2.77-2.82
Au  0.5848  0.5848  0.1959  2 Pd 2.66, 4 Au 2.77-2.82
Au  0.1205  0.1205  0.5675  2 Au 2.82, 1 Bi 2.94, 1 Pd 3.01
Au  0.5675  0.1205  0.1205  2 Au 2.82, 1 Bi 2.94, 1 Pd 3.01
Au  0.1959  0.5848  0.5848  2 Pd 2.66, 4 Au 2.77-2.82
Au  0.1205  0.5675  0.1205  2 Au 2.82, 1 Bi 2.94, 1 Pd 3.01
Au  0.5848  0.1959  0.5848  2 Pd 2.66, 4 Au 2.77-2.82

Formation energy from the elements in eV per formula unit: -1.86



Entry from Alexandria: BeInAg2 after structural relaxation (PBE).

Unit cell a=5.3980 b=5.3980 c=5.3980 alpha=146.06 beta=129.32 gamma=62.40
Closest atoms and distances in Å follow each position.
Positions (direct):
Be  0.5115  0.5115  0.0000  2 Ag 2.45, 2 In 2.67
Ag  0.9957  0.9957  0.0000  4 Be 2.80, 4 Ag 3.04-3.07, 4 In 3.05-3.06
Ag  0.7140  0.2140  0.5000  2 Be 2.45
In  0.2787  0.7787  0.5000  2 Be 2.67, 4 Ag 2.86

Formation energy from the elements in eV per formula unit: 0.84
Relative energy among the computed polymorphs in meV per atom: 71



Entry from Alexandria: KMoSe2N after structural relaxation (PBE).

Unit cell a=5.6897 b=5.6897 c=4.6332 alpha=90.00 beta=90.00 gamma=90.00
Closest atoms and distances in Å follow each position.
Positions (direct):
Mo  0.5000  0.5000  0.5000  8 Se 3.67, 4 N 4.02
K  0.0000  0.0000  0.0000  2 N 2.32
Se  0.0000  0.5000  0.0000  2 K 2.84
Se  0.5000  0.0000  0.0000  2 K 2.84
N  0.0000  0.0000  0.5000  2 K 2.32

Relative energy among the computed polymorphs in meV per atom: 2285
Energy relative to the elements, uncorrected in kJ/mol of atoms: 196.9



Entry from Alexandria: ZnCdSb2I after structural relaxation (PBE).

Unit cell a=5.6176 b=5.6176 c=6.0356 alpha=90.00 beta=90.00 gamma=90.00
Closest atoms and distances in Å follow each position.
Positions (direct):
I  0.0000  0.0000  0.5000  2 Cd 3.02
Sb  0.0000  0.5000  0.0000  2 Cd 2.81
Sb  0.5000  0.0000  0.0000  2 Cd 2.81
Zn  0.5000  0.5000  0.5000  4 I 3.97, 8 Sb 4.12
Cd  0.0000  0.0000  0.0000  4 Sb 2.81, 2 I 3.02

Relative energy among the computed polymorphs in meV per atom: 222
Energy relative to the elements, uncorrected in kJ/mol of atoms: 65.7



Entry from Alexandria: ZrRh2Se after structural relaxation (PBE).

Unit cell a=5.1364 b=5.1364 c=4.3730 alpha=64.83 beta=64.83 gamma=39.64
Closest atoms and distances in Å follow each position.
Positions (direct):
Rh  0.0193  0.0193  0.9808  2 Se 2.64, 4 Rh 2.81-2.82, 4 Zr 2.90-2.96
Rh  0.4807  0.4807  0.5192  2 Se 2.64, 4 Rh 2.81-2.82, 4 Zr 2.90-2.96
Se  0.7500  0.7500  0.7500  4 Rh 2.64, 4 Zr 2.80
Zr  0.2500  0.2500  0.2500  4 Se 2.80, 8 Rh 2.90-2.96

Energy relative to the elements, uncorrected in kJ/mol of atoms: -57.6



Entry from Alexandria: Sb2RhAu after structural relaxation (PBE).

Unit cell a=6.9413 b=6.9413 c=6.9413 alpha=153.14 beta=145.02 gamma=44.64
Closest atoms and distances in Å follow each position.
Positions (direct):
Sb  0.9448  0.9448  0.0000  2 Rh 2.72, 4 Au 3.03
Sb  0.2198  0.7198  0.5000  4 Rh 2.73, 2 Au 2.92
Rh  0.7743  0.2743  0.5000  6 Sb 2.72-2.73
Au  0.5611  0.5611  0.0000  6 Sb 2.92-3.03, 2 Rh 3.18, 2 Au 3.22

Energy relative to the elements, uncorrected in kJ/mol of atoms: -8.4



Entry from Alexandria: La4Pr5Tm after structural relaxation (PBE).

Unit cell a=3.7161 b=3.7161 c=26.0830 alpha=90.00 beta=90.00 gamma=90.00
Closest atoms and distances in Å follow each position.
Positions (direct):
La  0.0000  0.0000  0.1959  4 La 3.72, 8 Pr 3.73
La  0.0000  0.0000  0.3986  4 La 3.72, 8 Pr 3.72-3.73
La  0.0000  0.0000  0.6014  4 La 3.72, 8 Pr 3.72-3.73
La  0.0000  0.0000  0.8041  4 La 3.72, 8 Pr 3.73
Pr  0.5000  0.5000  0.0945  4 Tm 3.60, 4 Pr 3.72, 4 La 3.73
Pr  0.5000  0.5000  0.2974  4 Pr 3.72, 8 La 3.72-3.73
Pr  0.5000  0.5000  0.5000  4 Pr 3.72, 8 La 3.73
Pr  0.5000  0.5000  0.7026  4 Pr 3.72, 8 La 3.72-3.73
Pr  0.5000  0.5000  0.9055  4 Tm 3.60, 4 Pr 3.72, 4 La 3.73
Tm  0.0000  0.0000  0.0000  8 Pr 3.60, 4 Tm 3.72

Formation energy from the elements in eV per formula unit: 0.21
Relative energy among the computed polymorphs in meV per atom: 0



Entry from Alexandria: TlCuIr2 after structural relaxation (PBE).

Unit cell a=3.9834 b=3.9834 c=4.0216 alpha=90.00 beta=90.00 gamma=90.00
Closest atoms and distances in Å follow each position.
Positions (direct):
Cu  0.0000  0.5000  0.5000  4 Tl 2.82, 8 Ir 2.83
Ir  0.0000  0.0000  0.0000  4 Ir 2.82, 4 Tl 2.83, 4 Cu 2.83
Ir  0.5000  0.5000  0.0000  4 Ir 2.82, 4 Tl 2.83, 4 Cu 2.83
Tl  0.5000  0.0000  0.5000  4 Cu 2.82, 8 Ir 2.83

Formation energy from the elements in eV per formula unit: 1.93
Relative energy among the computed polymorphs in meV per atom: 120



Entry from Alexandria: Sr2LiSiNi after structural relaxation (PBE).

Unit cell a=5.8037 b=5.8037 c=4.3722 alpha=90.00 beta=90.00 gamma=90.00
Closest atoms and distances in Å follow each position.
Positions (direct):
Sr  0.0000  0.5000  0.0000  2 Ni 2.90
Sr  0.5000  0.0000  0.0000  2 Ni 2.90
Si  0.0000  0.0000  0.5000  2 Ni 2.19
Li  0.5000  0.5000  0.5000  8 Sr 3.63
Ni  0.0000  0.0000  0.0000  2 Si 2.19

Energy relative to the elements, uncorrected in kJ/mol of atoms: -14.2



Entry from Alexandria: VCrP2S after structural relaxation (PBE).

Unit cell a=4.2897 b=4.2897 c=4.8878 alpha=90.00 beta=90.00 gamma=90.00
Closest atoms and distances in Å follow each position.
Positions (direct):
Cr  0.0000  0.0000  0.0000  4 P 2.14
S  0.0000  0.0000  0.5000  2 Cr 2.44
P  0.0000  0.5000  0.0000  2 Cr 2.14
P  0.5000  0.0000  0.0000  2 Cr 2.14
V  0.5000  0.5000  0.5000  4 S 3.03, 8 P 3.25

Relative energy among the computed polymorphs in meV per atom: 0
Energy relative to the elements, uncorrected in kJ/mol of atoms: 47.4



Entry from Alexandria: TcAg2Ir after structural relaxation (PBE).

Unit cell a=2.6705 b=2.6705 c=8.9984 alpha=90.00 beta=90.00 gamma=90.00
Closest atoms and distances in Å follow each position.
Positions (direct):
Ag  0.0000  0.0000  0.0019  4 Ag 2.67, 4 Ir 2.92, 4 Tc 2.95
Ag  0.0000  0.0000  0.4981  4 Ag 2.67, 4 Ir 2.92, 4 Tc 2.95
Ir  0.5000  0.5000  0.2500  4 Ir 2.67, 8 Ag 2.92
Tc  0.5000  0.5000  0.7500  4 Tc 2.67, 8 Ag 2.95

Formation energy from the elements in eV per formula unit: 2.36
Relative energy among the computed polymorphs in meV per atom: 421



Entry from Alexandria: KSiSb2 after structural relaxation (PBE).

Unit cell a=6.2928 b=6.2928 c=6.2928 alpha=145.68 beta=121.10 gamma=69.98
Closest atoms and distances in Å follow each position.
Positions (direct):
K  0.7500  0.2500  0.5000  4 Si 3.61, 8 Sb 3.65-3.71, 2 K 3.71
Sb  0.0616  0.0616  0.0000  2 Si 2.69
Sb  0.4384  0.4384  0.0000  2 Si 2.69
Si  0.2500  0.7500  0.5000  4 Sb 2.69

Energy relative to the elements, uncorrected in kJ/mol of atoms: 13.7



Entry from Alexandria: LiGa2C after structural relaxation (PBE).

Unit cell a=5.9041 b=5.9041 c=5.8257 alpha=59.55 beta=59.55 gamma=90.00
Closest atoms and distances in Å follow each position.
Positions (direct):
C  0.0000  0.0000  0.0000  4 Ga 2.00
C  0.7500  0.2500  0.5000  4 Ga 2.00
Ga  0.7243  0.1250  0.2500  2 C 2.00
Ga  0.0257  0.6250  0.2500  2 C 2.00
Ga  0.3750  0.2757  0.7500  2 C 2.00
Ga  0.8750  0.9743  0.7500  2 C 2.00
Li  0.5000  0.5000  0.0000  4 Ga 2.73
Li  0.2500  0.7500  0.5000  4 Ga 2.73

Formation energy from the elements in eV per formula unit: 2.18



Entry from Alexandria: TlSb2Rh2 after structural relaxation (PBE).

Unit cell a=8.0258 b=8.0258 c=3.2060 alpha=90.00 beta=90.00 gamma=90.00
Closest atoms and distances in Å follow each position.
Positions (direct):
Sb  0.1488  0.6488  0.5000  6 Rh 2.77-2.95
Sb  0.6488  0.8512  0.5000  6 Rh 2.77-2.95
Sb  0.8512  0.3512  0.5000  6 Rh 2.77-2.95
Sb  0.3512  0.1488  0.5000  6 Rh 2.77-2.95
Tl  0.0000  0.0000  0.0000  4 Rh 3.13, 2 Tl 3.21, 8 Sb 3.46
Tl  0.5000  0.5000  0.0000  4 Rh 3.13, 2 Tl 3.21, 8 Sb 3.46
Rh  0.3674  0.8674  0.0000  6 Sb 2.77-2.95, 1 Rh 3.01
Rh  0.8674  0.6326  0.0000  6 Sb 2.77-2.95, 1 Rh 3.01
Rh  0.6326  0.1326  0.0000  6 Sb 2.77-2.95, 1 Rh 3.01
Rh  0.1326  0.3674  0.0000  6 Sb 2.77-2.95, 1 Rh 3.01

Relative energy among the computed polymorphs in meV per atom: 153
Energy relative to the elements, uncorrected in kJ/mol of atoms: -11.6



Entry from Alexandria: TbDyHoN3 after structural relaxation (PBE).

Unit cell a=3.4218 b=5.9769 c=9.0053 alpha=100.79 beta=90.00 gamma=90.00
Closest atoms and distances in Å follow each position.
Positions (direct):
Tb  0.7500  0.6642  0.7010  6 N 2.48-2.63
Tb  0.2500  0.3358  0.2990  6 N 2.48-2.63
Dy  0.2500  0.7682  0.0462  6 N 2.35-2.60
Dy  0.7500  0.2318  0.9538  6 N 2.35-2.60
Ho  0.2500  0.1579  0.6364  5 N 2.25-2.49
Ho  0.7500  0.8421  0.3636  5 N 2.25-2.49
N  0.2500  0.7523  0.5035  3 Ho 2.25-2.49
N  0.7500  0.0352  0.1564  3 Dy 2.35-2.42, 1 Ho 2.37
N  0.7500  0.5342  0.1713  1 Ho 2.28, 1 Dy 2.40, 2 Tb 2.48
N  0.7500  0.2477  0.4965  3 Ho 2.25-2.49
N  0.2500  0.4658  0.8287  1 Ho 2.28, 1 Dy 2.40, 2 Tb 2.48
N  0.2500  0.9648  0.8436  3 Dy 2.35-2.42, 1 Ho 2.37

Energy relative to the elements, uncorrected in kJ/mol of atoms: -141.3



Entry from Alexandria: Mg16Al12Sn after structural relaxation (PBE).

Unit cell a=9.1118 b=9.1118 c=9.1060 alpha=70.87 beta=70.87 gamma=109.30
Closest atoms and distances in Å follow each position.
Positions (direct):
Mg  0.3422  0.3422  0.6652  3 Mg 3.06-3.14, 6 Al 3.08-3.11, 1 Sn 3.10
Mg  0.0000  0.0000  0.0001  12 Al 3.11-3.26, 4 Mg 3.14-3.18
Mg  0.9982  0.9982  0.3458  4 Mg 3.05-3.14, 6 Al 3.08-3.13
Mg  0.3127  0.3127  0.2883  5 Al 2.91-3.15, 7 Mg 3.05-3.18
Mg  0.3962  0.6783  0.0023  4 Al 2.90-3.11, 5 Mg 3.07-3.18, 1 Sn 3.17
Mg  0.2861  0.5973  0.4012  5 Al 2.90-3.21, 7 Mg 3.06-3.19
Mg  0.6863  0.0053  0.5998  4 Al 2.90-3.16, 5 Mg 3.06-3.17, 1 Sn 3.12
Mg  0.6532  0.0026  0.9950  4 Mg 3.05-3.18, 6 Al 3.06-3.15
Mg  0.3196  0.7124  0.6830  5 Al 2.94-3.20, 6 Mg 3.05-3.16, 1 Sn 3.15
Mg  0.9987  0.4015  0.3176  5 Al 2.91-3.12, 7 Mg 3.06-3.19
Mg  0.4015  0.9987  0.3176  5 Al 2.91-3.12, 7 Mg 3.06-3.19
Mg  0.7124  0.3196  0.6830  5 Al 2.94-3.20, 6 Mg 3.05-3.16, 1 Sn 3.15
Mg  0.0026  0.6532  0.9950  4 Mg 3.05-3.18, 6 Al 3.06-3.15
Mg  0.0053  0.6863  0.5998  4 Al 2.90-3.16, 5 Mg 3.06-3.17, 1 Sn 3.12
Mg  0.5973  0.2861  0.4012  5 Al 2.90-3.21, 7 Mg 3.06-3.19
Mg  0.6783  0.3962  0.0023  4 Al 2.90-3.11, 5 Mg 3.07-3.18, 1 Sn 3.17
Al  0.6314  0.6314  0.1771  3 Al 2.69-2.75, 3 Mg 2.91-2.98
Al  0.8232  0.8232  0.8198  3 Al 2.69-2.74, 1 Sn 2.92
Al  0.1762  0.3597  0.0087  3 Al 2.73-2.75, 3 Mg 2.90-3.05
Al  0.0016  0.1877  0.6329  3 Al 2.70-2.77, 3 Mg 2.91-2.98
Al  0.6341  0.8239  0.3548  3 Al 2.68-2.82, 2 Mg 2.94-2.95
Al  0.8095  0.1806  0.1888  3 Al 2.68-2.79, 3 Mg 2.90-3.00
Al  0.9966  0.3667  0.8178  3 Al 2.70-2.79, 3 Mg 2.90-3.01
Al  0.3667  0.9966  0.8178  3 Al 2.70-2.79, 3 Mg 2.90-3.01
Al  0.1806  0.8095  0.1888  3 Al 2.68-2.79, 3 Mg 2.90-3.00
Al  0.8239  0.6341  0.3548  3 Al 2.68-2.82, 2 Mg 2.94-2.95
Al  0.1877  0.0016  0.6329  3 Al 2.70-2.77, 3 Mg 2.91-2.98
Al  0.3597  0.1762  0.0087  3 Al 2.73-2.75, 3 Mg 2.90-3.05
Sn  0.6183  0.6183  0.6998  3 Al 2.92-3.01, 7 Mg 3.10-3.17

Formation energy from the elements in eV per formula unit: -0.83
Relative energy among the computed polymorphs in meV per atom: 0



Entry from Alexandria: KNiRu3 after structural relaxation (PBE).

Unit cell a=4.6596 b=4.6596 c=4.6596 alpha=90.00 beta=90.00 gamma=90.00
Closest atoms and distances in Å follow each position.
Positions (direct):
Ru  0.0000  0.5000  0.0000  2 Ni 2.33
Ru  0.0000  0.0000  0.5000  2 Ni 2.33
Ru  0.5000  0.0000  0.0000  2 Ni 2.33
K  0.5000  0.5000  0.5000  12 Ru 3.29
Ni  0.0000  0.0000  0.0000  6 Ru 2.33

Formation energy from the elements in eV per formula unit: 7.75
Relative energy among the computed polymorphs in meV per atom: 0



Here are the calculated density numbers, same order: 5.4, 7.2, 6.5, 13.0, 8.4, 3.4, 4.8, 9.5, 10.4, 6.6, 17.0, 3.0, 3.6, 13.1, 4.4, 3.7, 10.5, 9.7, 2.3, 6.6 (g/cm3).